(1)
Density functional theory data (GGA-PBE) for a relaxed structure of Ac2Al4ZnPt3.

Unit cell a=4.4297 b=4.4297 c=10.5933 alpha=90.00 beta=90.00 gamma=90.00
Space group P-4m2 (No. 115)
Symmetry-distinct sites (fractional):
1 Ac 0.0000 0.5000 0.2493 [2 per cell]
2 Al 0.0000 0.0000 0.5000 [1 per cell]
3 Al 0.0000 0.5000 0.8723 [2 per cell]
4 Al 0.5000 0.5000 0.5000 [1 per cell]
5 Zn 0.5000 0.5000 0.0000 [1 per cell]
6 Pt 0.0000 0.0000 0.0000 [1 per cell]
7 Pt 0.0000 0.5000 0.6280 [2 per cell]

=====

(2)
Density functional theory data (GGA-PBE) for a relaxed structure of AcAlZnPt3.

Unit cell a=6.9943 b=12.3893 c=5.8680 alpha=90.00 beta=90.00 gamma=90.00
Space group Cmcm (No. 63)
Symmetry-distinct sites (fractional):
1 Ac 0.0000 0.2197 0.2500 [4 per cell]
2 Al 0.0000 0.1108 0.7500 [4 per cell]
3 Zn 0.0000 0.4884 0.2500 [4 per cell]
4 Pt 0.0000 0.3038 0.7500 [4 per cell]
5 Pt 0.2083 0.0000 0.0000 [8 per cell]

=====

(3)
Density functional theory data (GGA-PBE) for a relaxed structure of Ac2AlZnPt6.

Unit cell a=5.8382 b=5.8382 c=22.4553 alpha=90.00 beta=90.00 gamma=120.00
Space group R-3m (No. 166, hexagonal axes)
Symmetry-distinct sites (fractional):
1 Ac 0.0000 0.0000 0.2134 [6 per cell]
2 Al 0.0000 0.0000 0.0000 [3 per cell]
3 Zn 0.0000 0.0000 0.5000 [3 per cell]
4 Pt 0.0105 0.5052 0.2554 [18 per cell]

=====

(4)
Density functional theory data (GGA-PBE) for a relaxed structure of AcAl2ZnPt4.

Unit cell a=4.3072 b=4.3072 c=27.6367 alpha=90.00 beta=90.00 gamma=120.00
Space group R-3m (No. 166, hexagonal axes)
Symmetry-distinct sites (fractional):
1 Ac 0.0000 0.0000 0.0000 [3 per cell]
2 Al 0.0000 0.0000 0.2340 [6 per cell]
3 Zn 0.0000 0.0000 0.5000 [3 per cell]
4 Pt 0.0000 0.0000 0.1351 [6 per cell]
5 Pt 0.0000 0.0000 0.4068 [6 per cell]

=====

(5)
Density functional theory data (GGA-PBE) for a relaxed structure of Ac3Al2ZnPt9.

Unit cell a=7.3769 b=7.3769 c=6.8960 alpha=90.00 beta=90.00 gamma=120.00
Space group P-3m1 (No. 164)
Symmetry-distinct sites (fractional):
1 Ac 0.0000 0.0000 0.0000 [1 per cell]
2 Ac 0.3333 0.6667 0.6633 [2 per cell]
3 Al 0.3333 0.6667 0.1662 [2 per cell]
4 Zn 0.0000 0.0000 0.5000 [1 per cell]
5 Pt 0.0000 0.5000 0.0000 [3 per cell]
6 Pt 0.1680 0.3359 0.3296 [6 per cell]

=====

(6)
Density functional theory data (GGA-PBE) for a relaxed structure of Ac3AlZn2Pt9.

Unit cell a=7.4337 b=7.4337 c=6.7934 alpha=90.00 beta=90.00 gamma=120.00
Space group P-3m1 (No. 164)
Symmetry-distinct sites (fractional):
1 Ac 0.0000 0.0000 0.0000 [1 per cell]
2 Ac 0.3333 0.6667 0.6703 [2 per cell]
3 Al 0.0000 0.0000 0.5000 [1 per cell]
4 Zn 0.3333 0.6667 0.1679 [2 per cell]
5 Pt 0.0000 0.5000 0.0000 [3 per cell]
6 Pt 0.1651 0.3302 0.3359 [6 per cell]

=====

(7)
Density functional theory data (GGA-PBE) for a relaxed structure of AcPu2Al.

Unit cell a=3.8063 b=3.8063 c=7.9439 alpha=90.00 beta=90.00 gamma=90.00
Space group P4/mmm (No. 123)
Symmetry-distinct sites (fractional):
1 Ac 0.0000 0.0000 0.0000 [1 per cell]
2 Pu 0.5000 0.5000 0.3084 [2 per cell]
3 Al 0.0000 0.0000 0.5000 [1 per cell]

=====

(8)
Density functional theory data (GGA-PBE) for a relaxed structure of AcPuAl4.

Unit cell a=8.0869 b=8.0869 c=8.0869 alpha=90.00 beta=90.00 gamma=90.00
Space group F-43m (No. 216)
Symmetry-distinct sites (fractional):
1 Ac 0.0000 0.0000 0.0000 [4 per cell]
2 Pu 0.2500 0.2500 0.7500 [4 per cell]
3 Al 0.1238 0.1238 0.3762 [16 per cell]

=====

(9)
Density functional theory data (GGA-PBE) for a relaxed structure of Ac2PuAl.

Unit cell a=3.7161 b=3.7161 c=36.3621 alpha=90.00 beta=90.00 gamma=120.00
Space group R-3m (No. 166, hexagonal axes)
Symmetry-distinct sites (fractional):
1 Ac 0.0000 0.0000 0.0983 [6 per cell]
2 Pu 0.0000 0.0000 0.0000 [3 per cell]
3 Al 0.0000 0.0000 0.5000 [3 per cell]

=====

(10)
Density functional theory data (GGA-PBE) for a relaxed structure of AcPu2Al9.

Unit cell a=5.6491 b=5.6491 c=26.5602 alpha=90.00 beta=90.00 gamma=120.00
Space group R-3m (No. 166, hexagonal axes)
Symmetry-distinct sites (fractional):
1 Ac 0.0000 0.0000 0.0000 [3 per cell]
2 Pu 0.0000 0.0000 0.1433 [6 per cell]
3 Al 0.0000 0.0000 0.3354 [6 per cell]
4 Al 0.0000 0.0000 0.5000 [3 per cell]
5 Al 0.0075 0.5037 0.9156 [18 per cell]

=====

(11)
Density functional theory data (GGA-PBE) for a relaxed structure of Ac2PuAl.

Unit cell a=3.9087 b=3.9087 c=8.8927 alpha=90.00 beta=90.00 gamma=90.00
Space group P4/mmm (No. 123)
Symmetry-distinct sites (fractional):
1 Ac 0.0000 0.0000 0.2190 [2 per cell]
2 Pu 0.5000 0.5000 0.5000 [1 per cell]
3 Al 0.5000 0.5000 0.0000 [1 per cell]

=====

(12)
Density functional theory data (GGA-PBE) for a relaxed structure of AcPu2Al.

Unit cell a=4.6948 b=4.6948 c=5.1106 alpha=90.00 beta=90.00 gamma=90.00
Space group P4/mmm (No. 123)
Symmetry-distinct sites (fractional):
1 Ac 0.0000 0.0000 0.0000 [1 per cell]
2 Pu 0.0000 0.5000 0.5000 [2 per cell]
3 Al 0.5000 0.5000 0.0000 [1 per cell]

=====

no.,energy of formation (meV per atom),calculated volume (Å³ per cell)
1,-928,207.9
2,-775,508.5
3,-804,662.9
4,-958,444.0
5,-697,325.0
6,-620,325.1
7,98,115.1
8,-322,528.9
9,355,434.9
10,-293,734.0
11,49,135.9
12,66,112.6